Below is an optimized crystal structure of Pm8NdGa6, with properties calculated at the PBE level.

## Properties
As for the space-group type: R-3 (148). For the magnetization, the calculation gives 0.0 μB per formula unit. The energy of formation is -34 kJ/mol of atoms. The density of states at the Fermi level is 18.84 states/eV/cell.

```
Pm8NdGa6
1.0
4.430 2.558 6.287
-4.430 2.558 6.287
0.000 -5.115 6.287
Pm Nd Ga
8 1 6
direct
0.053 0.720 0.387
0.167 0.167 0.167
0.280 0.613 0.947
0.387 0.053 0.720
0.613 0.947 0.280
0.720 0.387 0.053
0.833 0.833 0.833
0.947 0.280 0.613
0.500 0.500 0.500
0.109 0.444 0.778
0.222 0.891 0.556
0.444 0.778 0.109
0.556 0.222 0.891
0.778 0.109 0.444
0.891 0.556 0.222
```